DFT (meta-GGA SCAN) results for MnBeZn2 at its PBEsol-relaxed geometry.

a b c (Å): 2.557 2.557 8.416
angles (deg): 81.26 81.26 60.00
Atoms (fractional coordinates):
Mn  0.000  0.000  0.000
Zn  0.247  0.247  0.258
Zn  0.753  0.753  0.742
Be  0.500  0.500  0.500

Values from the calculation:
- VASP energy: -12.286 eV per atom
- Fermi-level density of states: 2.34 states/eV/cell
- M_tot: 3.06 μB per formula unit
- Space group: R-3m, No. 166
- Formation energy: 0.12 eV/atom